# GGA-PBE YLuIr, optimized geometry
# M_tot: 0.00 μB per formula unit
# formation energy: -16.688 kcal/mol of atoms
# ΔE to the lowest computed polymorph: 0.0000 eV per atom
data_YLuIr
_space_group_name_H-M_alt 'F -4 3 m'
_space_group_IT_number 216
_space_group_name_Hall 'F -4 2 3'
_cell_length_a 6.737
_cell_length_b 6.737
_cell_length_c 6.737
_cell_angle_alpha 90.00
_cell_angle_beta 90.00
_cell_angle_gamma 90.00
loop_
_atom_site_label
_atom_site_type_symbol
_atom_site_fract_x
_atom_site_fract_y
_atom_site_fract_z
Y1 Y 0.000 0.000 0.000
Lu1 Lu 0.000 0.000 0.500
Ir1 Ir 0.250 0.250 0.250